The following is a PBE calculation of YRe2TeSe after structural relaxation, from the Alexandria database.

a = 4.573 Å, b = 4.573 Å, c = 5.797 Å
α = 90.00°, β = 90.00°, γ = 90.00°
Fractional coordinates of all 5 atoms:
Y1 0.000 0.000 0.000
Re1 0.000 0.500 0.500
Re2 0.500 0.000 0.500
Te1 0.500 0.500 0.000
Se1 0.500 0.500 0.500

The density comes out at 9.15 g/cm³. As for the space group: P4/mmm, No. 123. The calculation puts the energy relative to the elements, uncorrected at 1.0311 eV per atom.

=====

The following is a PBE calculation of ThReSe after structural relaxation, from the Alexandria database.

a = 3.721 Å, b = 3.721 Å, c = 10.283 Å
α = 90.00°, β = 90.00°, γ = 90.00°
Fractional coordinates of all 6 atoms:
Th1 0.250 0.250 0.243
Th2 0.750 0.750 0.757
Re1 0.250 0.250 0.517
Re2 0.750 0.750 0.483
Se1 0.250 0.250 0.887
Se2 0.750 0.750 0.113

The density comes out at 11.60 g/cm³. As for the space group: P4/nmm, No. 129. The calculation puts the energy relative to the elements, uncorrected at -0.5520 eV per atom.

=====

The following is a PBE calculation of Th3ReSe2 after structural relaxation, from the Alexandria database.

a = 7.275 Å, b = 7.275 Å, c = 7.617 Å
α = 99.08°, β = 99.08°, γ = 119.85°
Fractional coordinates of all 12 atoms:
Th1 0.069 0.425 0.777
Th2 0.218 0.218 0.223
Th3 0.425 0.069 0.777
Th4 0.575 0.931 0.223
Th5 0.782 0.782 0.777
Th6 0.931 0.575 0.223
Re1 0.168 0.832 0.000
Re2 0.832 0.168 0.000
Se1 0.000 0.000 0.500
Se2 0.341 0.659 0.500
Se3 0.500 0.500 0.000
Se4 0.659 0.341 0.500

The density comes out at 10.41 g/cm³. As for the space group: C2/m, No. 12. The calculation puts the energy relative to the elements, uncorrected at -1.0306 eV per atom.

=====

The following is a PBE calculation of ThRe4Se8 after structural relaxation, from the Alexandria database.

a = 7.198 Å, b = 7.198 Å, c = 8.542 Å
α = 120.42°, β = 120.42°, γ = 54.15°
Fractional coordinates of all 13 atoms:
Th1 0.000 0.000 0.000
Re1 0.000 0.000 0.500
Re2 0.000 0.500 0.000
Re3 0.500 0.000 0.000
Re4 0.500 0.500 0.500
Se1 0.239 0.239 0.760
Se2 0.247 0.733 0.264
Se3 0.267 0.753 0.736
Se4 0.269 0.269 0.249
Se5 0.731 0.731 0.751
Se6 0.733 0.247 0.264
Se7 0.753 0.267 0.736
Se8 0.761 0.761 0.240

The density comes out at 9.05 g/cm³. As for the space group: C2/m, No. 12. The calculation puts the energy relative to the elements, uncorrected at -0.1803 eV per atom.

=====

The following is a PBE calculation of TiRe2Se after structural relaxation, from the Alexandria database.

a = 10.570 Å, b = 10.570 Å, c = 10.570 Å
α = 160.23°, β = 160.23°, γ = 28.10°
Fractional coordinates of all 8 atoms:
Ti1 0.000 0.000 0.000
Ti2 0.750 0.250 0.500
Re1 0.115 0.625 0.990
Re2 0.375 0.365 0.490
Re3 0.635 0.125 0.010
Re4 0.875 0.885 0.510
Se1 0.250 0.750 0.500
Se2 0.500 0.500 0.000

The density comes out at 12.28 g/cm³. As for the space group: I-42d, No. 122. The calculation puts the energy relative to the elements, uncorrected at 0.3337 eV per atom.

=====

The following is a PBE calculation of TiReSe3 after structural relaxation, from the Alexandria database.

a = 4.876 Å, b = 4.876 Å, c = 4.876 Å
α = 90.00°, β = 90.00°, γ = 90.00°
Fractional coordinates of all 5 atoms:
Ti1 0.000 0.000 0.000
Re1 0.500 0.500 0.500
Se1 0.000 0.500 0.500
Se2 0.500 0.000 0.500
Se3 0.500 0.500 0.000

The density comes out at 6.75 g/cm³. As for the space group: Pm-3m, No. 221. For the energy above the most stable polymorph in this dataset, the calculation gives 0 meV/atom. The calculation puts the energy relative to the elements, uncorrected at 0.6568 eV per atom.

=====

The following is a PBE calculation of TiRe3Se after structural relaxation, from the Alexandria database.

a = 4.508 Å, b = 4.508 Å, c = 4.508 Å
α = 90.00°, β = 90.00°, γ = 90.00°
Fractional coordinates of all 5 atoms:
Ti1 0.000 0.000 0.000
Re1 0.000 0.500 0.500
Re2 0.500 0.000 0.500
Re3 0.500 0.500 0.000
Se1 0.500 0.500 0.500

The density comes out at 12.42 g/cm³. As for the space group: Pm-3m, No. 221. For the energy above the most stable polymorph in this dataset, the calculation gives 0 meV/atom. The calculation puts the energy relative to the elements, uncorrected at 1.3748 eV per atom.

=====

The following is a PBE calculation of TiRe3Se after structural relaxation, from the Alexandria database.

a = 4.593 Å, b = 4.593 Å, c = 4.593 Å
α = 90.00°, β = 90.00°, γ = 90.00°
Fractional coordinates of all 5 atoms:
Ti1 0.000 0.000 0.000
Re1 0.000 0.000 0.500
Re2 0.000 0.500 0.000
Re3 0.500 0.000 0.000
Se1 0.500 0.500 0.500

The density comes out at 11.75 g/cm³. As for the space group: Pm-3m, No. 221. For the energy above the most stable polymorph in this dataset, the calculation gives 743 meV/atom. The calculation puts the energy relative to the elements, uncorrected at 2.1177 eV per atom.